# 1
! PBE CePm2UP4, optimized geometry; values from VASP
&SYSTEM
  ibrav = 0, nat = 8, ntyp = 4
/
ATOMIC_SPECIES
Ce 140.12 Ce.upf
Pm 145.00 Pm.upf
U 238.03 U.upf
P 30.97 P.upf
CELL_PARAMETERS angstrom
7.041 0.000 0.000
0.000 4.055 0.000
-2.335 0.000 6.675
ATOMIC_POSITIONS crystal
Ce 0.000 0.000 0.000
Pm 0.000 0.500 0.500
Pm 0.500 0.000 0.500
U 0.500 0.500 0.000
P 0.254 0.500 0.240
P 0.260 0.000 0.762
P 0.740 0.000 0.238
P 0.746 0.500 0.760
! Volume: 190.6 Å³ per cell
! Electronic total energy: -7.440 eV/atom
! D(E_F): 11.1 states/eV per cell

# 2
! PBE Ce2Pm3UP6, optimized geometry; values from VASP
&SYSTEM
  ibrav = 0, nat = 12, ntyp = 4
/
ATOMIC_SPECIES
Ce 140.12 Ce.upf
Pm 145.00 Pm.upf
U 238.03 U.upf
P 30.97 P.upf
CELL_PARAMETERS angstrom
8.903 -2.036 0.000
8.903 2.036 0.000
-1.907 0.000 7.961
ATOMIC_POSITIONS crystal
Ce 0.166 0.166 0.333
Ce 0.834 0.834 0.667
Pm 0.168 0.168 0.833
Pm 0.500 0.500 0.500
Pm 0.832 0.832 0.167
U 0.500 0.500 0.000
P 0.000 0.000 0.238
P 0.000 0.000 0.762
P 0.332 0.332 0.420
P 0.338 0.338 0.917
P 0.662 0.662 0.083
P 0.668 0.668 0.580
! Volume: 288.6 Å³ per cell
! Electronic total energy: -7.264 eV/atom
! D(E_F): 16.1 states/eV per cell

# 3
! PBE Ce2PmU3P6, optimized geometry; values from VASP
&SYSTEM
  ibrav = 0, nat = 12, ntyp = 4
/
ATOMIC_SPECIES
Ce 140.12 Ce.upf
Pm 145.00 Pm.upf
U 238.03 U.upf
P 30.97 P.upf
CELL_PARAMETERS angstrom
3.458 -5.989 0.000
3.458 5.989 0.000
-2.305 0.000 6.665
ATOMIC_POSITIONS crystal
Ce 0.167 0.833 0.000
Ce 0.833 0.167 0.000
Pm 0.500 0.500 0.000
U 0.000 0.000 0.500
U 0.334 0.666 0.500
U 0.666 0.334 0.500
P 0.077 0.412 0.737
P 0.252 0.252 0.263
P 0.412 0.077 0.737
P 0.588 0.923 0.263
P 0.748 0.748 0.737
P 0.923 0.588 0.263
! Volume: 276.0 Å³ per cell
! Electronic total energy: -8.147 eV/atom
! D(E_F): 23.1 states/eV per cell

# 4
! PBE Ce4PmU3P8, optimized geometry; values from VASP
&SYSTEM
  ibrav = 0, nat = 16, ntyp = 4
/
ATOMIC_SPECIES
Ce 140.12 Ce.upf
Pm 145.00 Pm.upf
U 238.03 U.upf
P 30.97 P.upf
CELL_PARAMETERS angstrom
4.030 2.326 6.628
-4.030 2.326 6.628
0.000 -4.653 6.628
ATOMIC_POSITIONS crystal
Ce 0.000 0.000 0.000
Ce 0.000 0.500 0.500
Ce 0.500 0.000 0.500
Ce 0.500 0.500 0.000
Pm 0.500 0.500 0.500
U 0.000 0.000 0.500
U 0.000 0.500 0.000
U 0.500 0.000 0.000
P 0.240 0.751 0.751
P 0.246 0.246 0.246
P 0.249 0.249 0.760
P 0.249 0.760 0.249
P 0.751 0.240 0.751
P 0.751 0.751 0.240
P 0.754 0.754 0.754
P 0.760 0.249 0.249
! Volume: 372.8 Å³ per cell
! Electronic total energy: -7.897 eV/atom
! D(E_F): 30.8 states/eV per cell

# 5
! PBE Ce3PmY2P6, optimized geometry; values from VASP
&SYSTEM
  ibrav = 0, nat = 12, ntyp = 4
/
ATOMIC_SPECIES
Ce 140.12 Ce.upf
Pm 145.00 Pm.upf
Y 88.91 Y.upf
P 30.97 P.upf
CELL_PARAMETERS angstrom
3.527 -6.109 0.000
3.527 6.109 0.000
-2.352 0.000 6.636
ATOMIC_POSITIONS crystal
Ce 0.000 0.000 0.000
Ce 0.334 0.666 0.000
Ce 0.666 0.334 0.000
Pm 0.500 0.500 0.500
Y 0.167 0.833 0.500
Y 0.833 0.167 0.500
P 0.079 0.416 0.249
P 0.246 0.246 0.750
P 0.416 0.079 0.249
P 0.584 0.921 0.751
P 0.754 0.754 0.250
P 0.921 0.584 0.751
! Volume: 285.9 Å³ per cell
! Electronic total energy: -7.218 eV/atom
! D(E_F): 14.3 states/eV per cell

# 6
! PBE Ce3PmY4P8, optimized geometry; values from VASP
&SYSTEM
  ibrav = 0, nat = 16, ntyp = 4
/
ATOMIC_SPECIES
Ce 140.12 Ce.upf
Pm 145.00 Pm.upf
Y 88.91 Y.upf
P 30.97 P.upf
CELL_PARAMETERS angstrom
4.058 2.343 6.609
-4.058 2.343 6.609
0.000 -4.686 6.609
ATOMIC_POSITIONS crystal
Ce 0.000 0.500 0.500
Ce 0.500 0.000 0.500
Ce 0.500 0.500 0.000
Pm 0.000 0.000 0.000
Y 0.000 0.000 0.500
Y 0.000 0.500 0.000
Y 0.500 0.000 0.000
Y 0.500 0.500 0.500
P 0.249 0.249 0.249
P 0.252 0.252 0.748
P 0.252 0.748 0.252
P 0.252 0.748 0.748
P 0.748 0.252 0.252
P 0.748 0.252 0.748
P 0.748 0.748 0.252
P 0.751 0.751 0.751
! Volume: 377.0 Å³ per cell
! Electronic total energy: -7.307 eV/atom
! D(E_F): 15.6 states/eV per cell

Which value of volume does entry 4 give?
372.8 Å³ per cell